[1]
Compound: Cs3DyEr2Se6
Source: the Alexandria database
Functional: PBE-GGA
Structure: relaxed

## Properties
Uncorrected formation energy: -20.65 eV per formula unit
Total energy: -4.821 eV per atom
DOS(E_F): 0.0 states/eV per cell

a = 7.3535 Å, b = 7.3535 Å, c = 8.7201 Å
α = 98.08°, β = 98.08°, γ = 120.00°
Last column: nearest neighbours and their distance in Å.
Positions (direct):
Er 0.6667 0.3333 0.0000  6 Se 2.89
Er 0.3333 0.6667 0.0000  6 Se 2.89
Se 0.2738 0.2738 0.8156  2 Er 2.89, 1 Dy 2.91
Cs 0.5000 0.5000 0.5000  6 Se 3.59-3.61
Cs 0.8336 0.1664 0.5000  6 Se 3.60-3.61
Se 0.7262 0.7262 0.1844  2 Er 2.89, 1 Dy 2.91
Cs 0.1664 0.8336 0.5000  6 Se 3.60-3.61
Se 0.0615 0.3968 0.1845  2 Er 2.89, 1 Dy 2.91
Se 0.3968 0.0615 0.1845  2 Er 2.89, 1 Dy 2.91
Dy 0.0000 0.0000 0.0000  6 Se 2.91
Se 0.9385 0.6032 0.8155  2 Er 2.89, 1 Dy 2.91
Se 0.6032 0.9385 0.8155  2 Er 2.89, 1 Dy 2.91

***

[2]
Compound: BeTcNF2
Source: the Alexandria database
Functional: PBE-GGA
Structure: relaxed

## Properties
Distance to the lowest polymorph of the same formula: 982 meV per atom
Uncorrected formation energy: -0.67 eV per formula unit
Total energy: -5.366 eV per atom
DOS(E_F): 3.2 states/eV per cell

a = 4.1728 Å, b = 4.1728 Å, c = 3.7981 Å
α = 90.00°, β = 90.00°, γ = 90.00°
Last column: nearest neighbours and their distance in Å.
Positions (direct):
N 0.0000 0.0000 0.5000  2 Tc 1.90
Tc 0.0000 0.0000 0.0000  2 N 1.90, 4 F 2.09
Be 0.5000 0.5000 0.5000  8 F 2.82, 4 N 2.95
F 0.5000 0.0000 0.0000  2 Tc 2.09
F 0.0000 0.5000 0.0000  2 Tc 2.09

***

[3]
Compound: Tb2Pr7Ho
Source: the Alexandria database
Functional: PBE-GGA
Structure: relaxed

## Properties
Distance to the lowest polymorph of the same formula: 0 meV per atom
Total energy: -4.364 eV per atom
DOS(E_F): 15.4 states/eV per cell

a = 3.5459 Å, b = 10.4638 Å, c = 10.4638 Å
α = 108.64°, β = 90.00°, γ = 90.00°
Last column: nearest neighbours and their distance in Å.
Positions (direct):
Pr 0.5000 0.3820 0.1257  1 Tb 3.16
Pr 0.0000 0.3212 0.6788  2 Tb 3.18, 4 Pr 3.52-3.55
Pr 0.5000 0.1257 0.3820  1 Tb 3.16
Ho 0.0000 0.0000 0.0000  4 Tb 3.33, 2 Ho 3.55
Tb 0.5000 0.1657 0.8343  4 Pr 3.16-3.18, 2 Ho 3.33
Pr 0.0000 0.6788 0.3212  2 Tb 3.18, 4 Pr 3.52-3.55
Pr 0.5000 0.8743 0.6180  1 Tb 3.16
Pr 0.5000 0.6180 0.8743  1 Tb 3.16
Tb 0.5000 0.8343 0.1657  4 Pr 3.16-3.18, 2 Ho 3.33
Pr 0.5000 0.5000 0.5000  10 Pr 3.52-3.71

***

[4]
Compound: CdSnHg2Br4
Source: the Alexandria database
Functional: PBE-GGA
Structure: relaxed

## Properties
Uncorrected formation energy: -4.50 eV per formula unit
Total energy: -2.089 eV per atom
DOS(E_F): 0.0 states/eV per cell

a = 9.0539 Å, b = 7.1052 Å, c = 8.1791 Å
α = 126.17°, β = 130.52°, γ = 82.54°
Last column: nearest neighbours and their distance in Å.
Positions (direct):
Sn 0.0887 0.6716 0.1892  4 Br 2.86-2.99, 2 Hg 3.15-3.18
Cd 0.7588 0.7617 0.4905  4 Br 2.63-2.66
Br 0.7525 0.5022 0.6233  1 Cd 2.66, 1 Sn 2.86
Hg 0.1080 0.2277 0.4590  1 Sn 3.15, 1 Hg 3.29
Br 0.7458 0.4456 0.0775  1 Cd 2.66
Br 0.1137 0.1819 0.9336  1 Cd 2.64, 1 Sn 2.89
Br 0.4078 0.8335 0.2367  1 Cd 2.63
Hg 0.4118 0.7629 0.7644  1 Sn 3.18, 1 Hg 3.29

***

[5]
Compound: NbPtS3
Source: the Alexandria database
Functional: PBE-GGA
Structure: relaxed

## Properties
Distance to the lowest polymorph of the same formula: 209 meV per atom
Uncorrected formation energy: 2.99 eV per formula unit
Total energy: -5.101 eV per atom
DOS(E_F): 4.4 states/eV per cell

a = 4.6457 Å, b = 4.6457 Å, c = 4.6457 Å
α = 90.00°, β = 90.00°, γ = 90.00°
Last column: nearest neighbours and their distance in Å.
Positions (direct):
Pt 0.0000 0.0000 0.0000  6 S 2.32
S 0.0000 0.0000 0.5000  2 Pt 2.32
Nb 0.5000 0.5000 0.5000  12 S 3.28
S 0.5000 0.0000 0.0000  2 Pt 2.32
S 0.0000 0.5000 0.0000  2 Pt 2.32

***

[6]
Compound: PmInGa2
Source: the Alexandria database
Functional: PBE-GGA
Structure: relaxed

## Properties
Distance to the lowest polymorph of the same formula: 192 meV per atom
Total energy: -3.682 eV per atom
DOS(E_F): 3.0 states/eV per cell

a = 5.0763 Å, b = 5.0763 Å, c = 5.0763 Å
α = 60.00°, β = 60.00°, γ = 60.00°
Last column: nearest neighbours and their distance in Å.
Positions (direct):
Ga 0.2500 0.2500 0.2500  4 Pm 3.11, 4 In 3.11
Ga 0.7500 0.7500 0.7500  4 In 3.11, 4 Pm 3.11
In 0.5000 0.5000 0.5000  8 Ga 3.11
Pm 0.0000 0.0000 0.0000  8 Ga 3.11

***

[7]
Compound: Sr6LiCd5
Source: the Alexandria database
Functional: PBE-GGA
Structure: relaxed

## Properties
Total energy: -1.662 eV per atom
DOS(E_F): 9.6 states/eV per cell

a = 5.7879 Å, b = 8.0535 Å, c = 10.0132 Å
α = 113.71°, β = 106.73°, γ = 90.00°
Last column: nearest neighbours and their distance in Å.
Positions (direct):
Sr 0.8313 0.0842 0.6625  7 Cd 3.51-3.55, 1 Li 3.57
Cd 0.6624 0.1624 0.3249  8 Sr 3.50-3.55
Cd 0.0000 0.5000 0.0000  8 Sr 3.50-3.55
Sr 0.1687 0.4218 0.3375  7 Cd 3.51-3.55, 1 Li 3.57
Cd 0.6664 0.6667 0.3329  8 Sr 3.50-3.52
Sr 0.8313 0.5782 0.6625  7 Cd 3.51-3.55, 1 Li 3.57
Cd 0.3376 0.8376 0.6751  8 Sr 3.50-3.55
Sr 0.5000 0.7440 0.0000  6 Cd 3.50, 2 Li 3.55
Li 0.0000 0.0000 0.0000  8 Sr 3.55-3.57
Sr 0.1687 0.9158 0.3375  7 Cd 3.51-3.55, 1 Li 3.57
Cd 0.3336 0.3333 0.6671  8 Sr 3.50-3.52
Sr 0.5000 0.2560 0.0000  6 Cd 3.50, 2 Li 3.55

***

[8]
Compound: KIn2SnI5
Source: the Alexandria database
Functional: PBE-GGA
Structure: relaxed

## Properties
Uncorrected formation energy: -6.05 eV per formula unit
Total energy: -2.709 eV per atom
DOS(E_F): 0.0 states/eV per cell

a = 4.7183 Å, b = 10.4010 Å, c = 17.8732 Å
α = 90.00°, β = 90.00°, γ = 103.11°
Last column: nearest neighbours and their distance in Å.
Positions (direct):
In 0.0622 0.1244 0.6509  6 I 3.41-3.65
I 0.9089 0.8179 0.5713  1 Sn 3.26, 2 In 3.42-3.43, 2 K 3.45
I 0.5221 0.0442 0.2674  4 In 3.39-3.58, 1 K 3.43
K 0.4396 0.8792 0.4350  5 I 3.43-3.53
K 0.5604 0.1208 0.9350  5 I 3.43-3.53
I 0.0911 0.1821 0.0713  1 Sn 3.26, 2 In 3.42-3.43, 2 K 3.45
In 0.1416 0.2831 0.2547  5 I 3.39-3.69
In 0.8584 0.7169 0.7547  5 I 3.39-3.69
I 0.4029 0.8058 0.0193  1 Sn 3.13, 2 In 3.41
I 0.7584 0.5168 0.1671  2 Sn 3.28, 1 In 3.65
In 0.9378 0.8756 0.1509  6 I 3.41-3.65
Sn 0.7506 0.5011 0.5401  6 I 3.13-3.28
I 0.4779 0.9558 0.7674  4 In 3.39-3.58, 1 K 3.43
I 0.7342 0.4684 0.9182  2 Sn 3.23, 1 K 3.53
I 0.2658 0.5316 0.4182  2 Sn 3.23, 1 K 3.53
I 0.2416 0.4832 0.6671  2 Sn 3.28, 1 In 3.65
I 0.5971 0.1942 0.5193  1 Sn 3.13, 2 In 3.41
Sn 0.2494 0.4989 0.0401  6 I 3.13-3.28

***

Question: The lowest total energy belongs to which entry?
Answer: BeTcNF2